Run a
ZrScPd, relaxed, DFT GGA-PBE; size of the total moment = 1.62 μB per cell
1.0
6.7119 0.0000 -0.0063
0.0000 3.3327 0.0000
-3.2930 0.0000 10.8090
Zr Sc Pd
4 4 4
Direct
0.0775 0.5000 0.1574
0.9225 0.0000 0.3426
0.0775 0.0000 0.6574
0.9225 0.5000 0.8426
0.4221 0.5000 0.8500
0.4221 0.0000 0.3500
0.5779 0.5000 0.1500
0.5779 0.0000 0.6500
0.7517 0.5000 0.5031
0.7517 0.0000 0.0031
0.2483 0.5000 0.4969
0.2483 0.0000 0.9969

=====

Run b
ZrScPd, relaxed, DFT GGA-PBE; size of the total moment = 0.00 μB per cell
1.0
-2.2422 -2.5931 0.7862
-2.8627 -1.7905 -14.0701
3.4534 -3.0803 -0.3106
Zr Pd Sc
4 4 4
Direct
0.5000 0.2412 0.2500
0.5000 0.7588 0.7500
0.0000 0.2588 0.7500
0.0000 0.7412 0.2500
0.0000 0.0788 0.2500
0.5000 0.4212 0.7500
0.5000 0.5788 0.2500
0.0000 0.9212 0.7500
0.0000 0.5766 0.7500
0.0000 0.4234 0.2500
0.5000 0.0766 0.7500
0.5000 0.9234 0.2500

=====

Tell me which of them is the least stable. Sure, it is run a.

=====

Run a
ZrScPd, relaxed, DFT GGA-PBE; size of the total moment = 0.00 μB per cell
1.0
3.2842 0.0000 0.0000
0.0000 3.2842 0.0000
0.0000 0.0000 11.1160
Pd Sc Zr
2 2 2
Direct
0.5000 0.5000 0.7345
0.5000 0.5000 0.4381
0.0000 0.0000 0.2848
0.0000 0.0000 0.5859
0.0000 0.0000 0.8958
0.5000 0.5000 0.0848

=====

Run b
ZrScPd, relaxed, DFT GGA-PBE; size of the total moment = 0.00 μB per cell
1.0
-1.6918 -0.0454 -2.8819
1.3419 -2.9699 -0.7409
-3.9313 -0.9588 4.2609
Sc Zr Pd
1 1 1
Direct
0.3208 0.3208 0.6416
0.0114 0.0114 0.0229
0.6678 0.6678 0.3355

=====

Run c
ZrScPd, relaxed, DFT GGA-PBE; size of the total moment = 1.44 μB per cell
1.0
-2.9667 -4.3173 -4.1447
2.5451 -2.1241 0.3908
-3.5994 -2.3806 10.5025
Zr Sc Pd
4 4 4
Direct
0.6706 0.0000 0.3402
0.6706 0.5000 0.8402
0.3294 0.5000 0.1598
0.3294 0.0000 0.6598
0.8211 0.5000 0.1469
0.1789 0.0000 0.3531
0.1789 0.5000 0.8531
0.8211 0.0000 0.6469
0.0000 0.0000 0.0000
0.0000 0.5000 0.5000
0.5000 0.0000 0.0000
0.5000 0.5000 0.5000

=====

Tell me which of them is the least stable. Sure, it is run b.

=====

Run a
ZrScPd, relaxed, DFT GGA-PBE; size of the total moment = 0.00 μB per cell
1.0
-6.0845 -1.5918 2.4569
-1.9051 -7.9633 -0.5992
0.1734 -3.5927 7.3800
Zr Pd Sc
6 6 6
Direct
0.7272 0.0147 0.5147
0.2567 0.4854 0.9854
0.2566 0.9853 0.4853
0.7867 0.7501 0.2501
0.7276 0.5146 0.0146
0.7868 0.2499 0.7499
0.2568 0.8779 0.8776
0.5016 0.5000 0.5000
0.0124 0.1221 0.1224
0.5016 0.0000 0.0000
0.2568 0.3776 0.3779
0.0124 0.6224 0.6221
0.9234 0.8332 0.8333
0.5899 0.1668 0.1667
0.2572 0.7499 0.2499
0.5899 0.6667 0.6668
0.2569 0.2501 0.7501
0.9234 0.3333 0.3332

=====

Run b
ZrScPd, relaxed, DFT GGA-PBE; size of the total moment = 0.00 μB per cell
1.0
-2.8112 0.8403 -4.0684
2.6237 -0.4740 -1.9108
-3.0398 -14.3785 -0.6069
Zr Sc Pd
4 4 4
Direct
0.2873 0.0000 0.1465
0.2873 0.5000 0.6465
0.2960 0.0000 0.8321
0.2960 0.5000 0.3321
0.7905 0.0000 0.2915
0.8418 0.5000 0.4856
0.7905 0.5000 0.7915
0.8418 0.0000 0.9856
0.3966 0.5000 0.9872
0.7791 0.0000 0.6447
0.7791 0.5000 0.1447
0.3966 0.0000 0.4872

=====

Tell me which of them is the least stable. Sure, it is run a.

=====

Run a
ZrSc3Pd, relaxed, DFT GGA-PBE; size of the total moment = 1.17 μB per cell
1.0
-2.8796 2.2997 3.4250
-1.5817 -4.4731 1.6737
3.8102 -0.1188 3.2832
Sc Zr Pd
3 1 1
Direct
0.0000 0.0000 0.5000
0.0000 0.5000 0.0000
0.5000 0.0000 0.0000
0.5000 0.5000 0.5000
0.0000 0.0000 0.0000

=====

Run b
ZrSc3Pd, relaxed, DFT GGA-PBE; size of the total moment = 0.00 μB per cell
1.0
-2.2013 2.1660 3.9485
3.2254 -2.3091 3.0648
3.1431 3.8865 -0.3796
Pd Zr Sc
1 1 3
Direct
0.5000 0.5000 0.5000
0.0000 0.0000 0.0000
0.0000 0.0000 0.5000
0.5000 0.0000 0.0000
0.0000 0.5000 0.0000

=====

Tell me which of them is the least stable. Sure, it is run b.

=====

Run a
ZrSc2Pd3, relaxed, DFT GGA-PBE; size of the total moment = 0.00 μB per cell
1.0
-0.3095 0.9612 -3.0350
4.3137 -1.8372 -1.0218
-6.1455 -12.5648 -3.3526
Pd Sc Zr
6 4 2
Direct
0.4999 0.5000 0.6691
0.5004 0.5000 0.0000
0.5001 0.0000 0.8309
0.5001 0.0000 0.1691
0.4996 0.0000 0.5000
0.4999 0.5000 0.3309
0.9999 0.0000 0.3329
0.0001 0.5000 0.1671
0.9999 0.0000 0.6671
0.0001 0.5000 0.8329
0.0004 0.0000 0.0000
0.9996 0.5000 0.5000

=====

Run b
ZrSc2Pd3, relaxed, DFT GGA-PBE; size of the total moment = 0.00 μB per cell
1.0
-1.8233 2.6008 0.5439
-0.4722 -0.9663 3.0377
8.5722 5.3733 3.0417
Pd Sc Zr
3 2 1
Direct
0.0000 0.0000 0.3194
0.0000 0.0000 0.0000
0.0000 0.0000 0.6806
0.5000 0.5000 0.1629
0.5000 0.5000 0.8371
0.5000 0.5000 0.5000

=====

Tell me which of them is the least stable. Sure, it is run b.

=====

Run a
Pd4Se, relaxed, DFT GGA-PBE; size of the total moment = 0.00 μB per cell
1.0
5.6163 -0.4699 0.0000
-2.5978 5.0015 0.0000
-1.5092 -2.2658 6.0712
Pd Se
8 2
Direct
0.3119 0.4829 0.3730
0.1099 0.9389 0.6270
0.1433 0.5007 0.7289
0.7507 0.8933 0.2289
0.7719 0.4144 0.2711
0.1889 0.8599 0.1270
0.6644 0.5219 0.7711
0.7329 0.0619 0.8730
0.5650 0.0650 0.5000
0.3150 0.3150 0.0000

=====

Run b
Pd4Se, relaxed, DFT GGA-PBE; size of the total moment = 0.00 μB per cell
1.0
4.6346 0.0000 0.0000
0.0000 4.6346 0.0000
0.0000 0.0000 4.6346
Pd Se
4 1
Direct
0.5000 0.0000 0.5000
0.0000 0.0000 0.0000
0.5000 0.5000 0.0000
0.0000 0.5000 0.5000
0.5000 0.5000 0.5000

=====

Tell me which of them is the least stable. Sure, it is run b.

=====

Run a
Si2PdSe2, relaxed, DFT GGA-PBE; size of the total moment = 0.00 μB per cell
1.0
5.0463 0.0000 0.0000
0.0000 5.0463 0.0000
2.5231 2.5231 3.6782
Pd Se Si
1 2 2
Direct
0.0000 0.0000 0.0000
0.7500 0.2500 0.5000
0.2500 0.7500 0.5000
0.3359 0.3359 0.3283
0.6641 0.6641 0.6717

=====

Run b
Si2PdSe2, relaxed, DFT GGA-PBE; size of the total moment = 0.00 μB per cell
1.0
-6.0914 -0.3746 -3.6012
2.1627 -6.0291 -3.0312
-1.5515 -1.9795 2.8303
Si Se Pd
4 4 2
Direct
0.8383 0.6617 0.0000
0.3383 0.8383 0.0000
0.6617 0.1617 0.0000
0.1617 0.3383 0.0000
0.8191 0.3191 0.5000
0.3191 0.1809 0.5000
0.1809 0.6809 0.5000
0.6809 0.8191 0.5000
0.5000 0.5000 0.0000
0.0000 0.0000 0.0000

=====

Tell me which of them is the least stable. Sure, it is run b.

=====

Run a
SmPdSe, relaxed, DFT GGA-PBE; size of the total moment = 0.00 μB per cell
1.0
3.8739 0.0000 0.0000
0.0000 3.8739 0.0000
-1.9369 -1.9369 4.4509
Sm Se Pd
1 1 1
Direct
0.9560 0.9560 0.9121
0.5990 0.5990 0.1979
0.2950 0.2950 0.5900

=====

Run b
SmPdSe, relaxed, DFT GGA-PBE; size of the total moment = 0.00 μB per cell
1.0
-3.8255 -3.2264 -0.6638
1.8959 -2.9886 3.5999
-2.8735 6.6394 3.4855
Pd Se Sm
2 2 2
Direct
0.9987 0.4987 0.9973
0.7487 0.7487 0.4973
0.1958 0.6958 0.3916
0.9458 0.9458 0.8916
0.8055 0.3055 0.6111
0.5555 0.5555 0.1111

=====

Tell me which of them is the least stable. Sure, it is run b.